The following is a DFT calculation (PBE+U) of a relaxed structure of Li4Ni5O10.

space-group type = No. 2
total DFT energy (no corrections) = -4.84 eV per atom

Geometry as CIF:
```
data_Li4Ni5O10
_chemical_formula_sum 'Li4 Ni5 O10'
_cell_length_a 5.0699
_cell_length_b 5.8289
_cell_length_c 6.4280
_cell_angle_alpha 104.87
_cell_angle_beta 96.70
_cell_angle_gamma 107.39
_space_group_name_H-M_alt 'P 1'
_space_group_IT_number 1
loop_
_space_group_symop_operation_xyz
'x,y,z'
loop_
_atom_site_label
_atom_site_fract_x
_atom_site_fract_y
_atom_site_fract_z
Li1 0.6010 0.1933 0.1888
Li2 0.3990 0.8067 0.8112
Li3 0.1967 0.3866 0.3907
Li4 0.8033 0.6134 0.6093
Ni1 0.6049 0.7024 0.2024
Ni2 0.2037 0.9031 0.4001
Ni3 0.3951 0.2976 0.7976
Ni4 0.0000 0.5000 0.0000
Ni5 0.7963 0.0969 0.5999
O1 0.6665 0.6251 0.9092
O2 0.4803 0.2388 0.5149
O3 0.6743 0.1635 0.8728
O4 0.5197 0.7612 0.4851
O5 0.3335 0.3749 0.0908
O6 0.3257 0.8365 0.1272
O7 0.1040 0.4196 0.7014
O8 0.8756 0.0329 0.3162
O9 0.1244 0.9671 0.6838
O10 0.8960 0.5804 0.2986
```

The following is a DFT calculation (PBE+U) of a relaxed structure of LiNi9O13.

space-group type = No. 1
total DFT energy (no corrections) = -4.68 eV per atom
DOS(E_F) = 0.317 states/eV/atom

Geometry as CIF:
```
data_LiNi9O13
_chemical_formula_sum 'Li1 Ni9 O13'
_cell_length_a 2.9534
_cell_length_b 5.1547
_cell_length_c 15.1651
_cell_angle_alpha 89.75
_cell_angle_beta 87.46
_cell_angle_gamma 80.82
_space_group_name_H-M_alt 'P 1'
_space_group_IT_number 1
loop_
_space_group_symop_operation_xyz
'x,y,z'
loop_
_atom_site_label
_atom_site_fract_x
_atom_site_fract_y
_atom_site_fract_z
Li1 0.2174 0.3528 0.0151
Ni1 0.8999 0.4777 0.5094
Ni2 0.5994 0.8423 0.0403
Ni3 0.7980 0.2200 0.8601
Ni4 0.2120 0.9199 0.4162
Ni5 0.5929 0.0268 0.5957
Ni6 0.0676 0.3516 0.1782
Ni7 0.1949 0.6961 0.8751
Ni8 0.5172 0.3782 0.3459
Ni9 0.3382 0.5397 0.6790
O1 0.1009 0.9871 0.9573
O2 0.5062 0.5229 0.2357
O3 0.2758 0.4030 0.8007
O4 0.1033 0.6572 0.0968
O5 0.6791 0.5346 0.9437
O6 0.6080 0.1859 0.1142
O7 0.7065 0.8728 0.8040
O8 0.1204 0.1567 0.3083
O9 0.7499 0.8036 0.7102
O10 0.8169 0.6502 0.3947
O11 0.9548 0.3012 0.6237
O12 0.5210 0.2163 0.4648
O13 0.2283 0.7616 0.5518
```

The following is a DFT calculation (PBE+U) of a relaxed structure of Li6Ni13O26.

space-group type = No. 2
total DFT energy (no corrections) = -4.76 eV per atom
DOS(E_F) = 0.188 states/eV/atom

Geometry as CIF:
```
data_Li6Ni13O26
_chemical_formula_sum 'Li6 Ni13 O26'
_cell_length_a 4.9152
_cell_length_b 9.8995
_cell_length_c 9.9480
_cell_angle_alpha 67.62
_cell_angle_beta 82.30
_cell_angle_gamma 85.46
_space_group_name_H-M_alt 'P 1'
_space_group_IT_number 1
loop_
_space_group_symop_operation_xyz
'x,y,z'
loop_
_atom_site_label
_atom_site_fract_x
_atom_site_fract_y
_atom_site_fract_z
Li1 0.0420 0.5763 0.3459
Li2 0.8002 0.1049 0.2895
Li3 0.1229 0.7312 0.0348
Li4 0.8771 0.2688 0.9652
Li5 0.1998 0.8951 0.7105
Li6 0.9580 0.4237 0.6541
Ni1 0.1153 0.7295 0.5395
Ni2 0.8847 0.2705 0.4605
Ni3 0.6534 0.8015 0.3855
Ni4 0.4221 0.3495 0.3068
Ni5 0.9609 0.4239 0.1536
Ni6 0.1913 0.8850 0.2324
Ni7 0.5000 0.5000 0.0000
Ni8 0.7313 0.9565 0.0764
Ni9 0.2687 0.0435 0.9236
Ni10 0.8087 0.1150 0.7676
Ni11 0.0391 0.5761 0.8464
Ni12 0.5779 0.6505 0.6932
Ni13 0.3466 0.1985 0.6145
O1 0.4154 0.8167 0.5660
O2 0.1797 0.3659 0.4839
O3 0.8203 0.6341 0.5161
O4 0.5846 0.1833 0.4340
O5 0.7551 0.4425 0.3201
O6 0.9728 0.8992 0.3960
O7 0.5037 0.9712 0.2544
O8 0.3254 0.7124 0.3718
O9 0.0904 0.2520 0.2956
O10 0.6635 0.3318 0.1298
O11 0.2562 0.5175 0.1768
O12 0.0253 0.0541 0.1022
O13 0.9045 0.7879 0.2056
O14 0.5956 0.1302 0.9355
O15 0.8318 0.5959 0.0114
O16 0.1682 0.4041 0.9886
O17 0.4044 0.8698 0.0645
O18 0.4963 0.0288 0.7456
O19 0.3365 0.6682 0.8702
O20 0.0955 0.2121 0.7944
O21 0.9747 0.9459 0.8978
O22 0.7438 0.4825 0.8232
O23 0.6746 0.2876 0.6282
O24 0.2449 0.5575 0.6799
O25 0.0272 0.1008 0.6040
O26 0.9096 0.7480 0.7044
```

The following is a DFT calculation (PBE+U) of a relaxed structure of Li3Ni2OsO6.

space-group type = No. 12
total DFT energy (no corrections) = -5.75 eV per atom

Geometry as CIF:
```
data_Li3Ni2OsO6
_chemical_formula_sum 'Li3 Ni2 Os1 O6'
_cell_length_a 5.1813
_cell_length_b 5.1813
_cell_length_c 5.1772
_cell_angle_alpha 99.70
_cell_angle_beta 99.70
_cell_angle_gamma 119.93
_space_group_name_H-M_alt 'P 1'
_space_group_IT_number 1
loop_
_space_group_symop_operation_xyz
'x,y,z'
loop_
_atom_site_label
_atom_site_fract_x
_atom_site_fract_y
_atom_site_fract_z
Li1 0.1699 0.8301 0.5000
Li2 0.8301 0.1699 0.5000
Li3 0.5000 0.5000 0.5000
Ni1 0.3332 0.6668 0.0000
Ni2 0.6668 0.3332 0.0000
Os1 0.0000 0.0000 0.0000
O1 0.9219 0.6036 0.7654
O2 0.7593 0.7593 0.2307
O3 0.0781 0.3964 0.2346
O4 0.6036 0.9219 0.7654
O5 0.2407 0.2407 0.7693
O6 0.3964 0.0781 0.2346
```

The following is a DFT calculation (PBE+U) of a relaxed structure of Li2Ni3P4O14.

space-group type = No. 2
total DFT energy (no corrections) = -6.44 eV per atom
DOS(E_F) = 0.000 states/eV/atom

Geometry as CIF:
```
data_Li2Ni3P4O14
_chemical_formula_sum 'Li4 Ni6 P8 O28'
_cell_length_a 5.2476
_cell_length_b 6.3987
_cell_length_c 15.8512
_cell_angle_alpha 81.69
_cell_angle_beta 82.03
_cell_angle_gamma 72.11
_space_group_name_H-M_alt 'P 1'
_space_group_IT_number 1
loop_
_space_group_symop_operation_xyz
'x,y,z'
loop_
_atom_site_label
_atom_site_fract_x
_atom_site_fract_y
_atom_site_fract_z
Li1 0.6506 0.3096 0.8756
Li2 0.0734 0.2113 0.9833
Li3 0.9266 0.7887 0.0167
Li4 0.3494 0.6904 0.1244
Ni1 0.2238 0.9550 0.3332
Ni2 0.2053 0.2825 0.5943
Ni3 0.0573 0.6432 0.8142
Ni4 0.9427 0.3568 0.1858
Ni5 0.7762 0.0450 0.6668
Ni6 0.7947 0.7175 0.4057
P1 0.1907 0.1132 0.7932
P2 0.3017 0.7835 0.5425
P3 0.3526 0.4186 0.3202
P4 0.6474 0.5814 0.6798
P5 0.8093 0.8868 0.2068
P6 0.6983 0.2165 0.4575
P7 0.5391 0.2377 0.0723
P8 0.4609 0.7623 0.9277
O1 0.5840 0.0241 0.1442
O2 0.4058 0.8460 0.4494
O3 0.3929 0.5630 0.7320
O4 0.0060 0.0185 0.2126
O5 0.1250 0.9886 0.5859
O6 0.7102 0.1461 0.9914
O7 0.3583 0.5872 0.8986
O8 0.9940 0.9815 0.7874
O9 0.6372 0.8476 0.2901
O10 0.4160 0.9759 0.8558
O11 0.2898 0.8539 0.0086
O12 0.2035 0.2799 0.2856
O13 0.7965 0.7201 0.7144
O14 0.6417 0.4128 0.1014
O15 0.9615 0.6814 0.1597
O16 0.4186 0.2954 0.4139
O17 0.2336 0.3107 0.0695
O18 0.6071 0.4370 0.2680
O19 0.8277 0.4005 0.4469
O20 0.3628 0.1524 0.7099
O21 0.5942 0.1540 0.5506
O22 0.1723 0.5995 0.5531
O23 0.1610 0.6499 0.3371
O24 0.7664 0.6893 0.9305
O25 0.5814 0.7046 0.5861
O26 0.0385 0.3186 0.8403
O27 0.8390 0.3501 0.6629
O28 0.8750 0.0114 0.4141
```

The following is a DFT calculation (PBE+U) of a relaxed structure of LiNiPO4.

space-group type = No. 148
total DFT energy (no corrections) = -6.22 eV per atom
DOS(E_F) = 0.000 states/eV/atom

Geometry as CIF:
```
data_LiNiPO4
_chemical_formula_sum 'Li2 Ni2 P2 O8'
_cell_length_a 4.8398
_cell_length_b 4.8397
_cell_length_c 8.3155
_cell_angle_alpha 73.09
_cell_angle_beta 90.00
_cell_angle_gamma 60.00
_space_group_name_H-M_alt 'P 1'
_space_group_IT_number 1
loop_
_space_group_symop_operation_xyz
'x,y,z'
loop_
_atom_site_label
_atom_site_fract_x
_atom_site_fract_y
_atom_site_fract_z
Li1 0.0053 0.9895 0.0160
Li2 0.5700 0.8599 0.7103
Ni1 0.1265 0.7471 0.3793
Ni2 0.4491 0.1018 0.3473
P1 0.8628 0.2744 0.5884
P2 0.7127 0.5745 0.1381
O1 0.9265 0.1470 0.7795
O2 0.6491 0.7019 0.9470
O3 0.5424 0.6365 0.5202
O4 0.7545 0.8267 0.2063
O5 0.8211 0.0222 0.5202
O6 0.0331 0.2124 0.2064
O7 0.4188 0.5481 0.2063
O8 0.1567 0.3008 0.5202
```